# 1
Entry from Alexandria: Li5Nb3H12 after structural relaxation (PBE).

The structure in POSCAR format:
```
Li5Nb3H12
1.0
-1.3046 -1.5473 9.1691
3.3564 -7.7829 -4.0411
6.1325 7.0173 -1.1486
Nb Li H
12 20 48
Direct
0.1250 0.8750 0.7500
0.7500 0.3750 0.1250
0.8750 0.1250 0.2500
0.2500 0.6250 0.8750
0.3750 0.7500 0.6250
0.7500 0.8750 0.6250
0.1250 0.2500 0.8750
0.6250 0.2500 0.3750
0.8750 0.7500 0.1250
0.3750 0.6250 0.2500
0.6250 0.3750 0.7500
0.2500 0.1250 0.3750
0.7500 0.1250 0.8750
0.5000 0.0000 0.0000
0.1250 0.3750 0.2500
0.5000 0.5000 0.0000
0.7500 0.6250 0.3750
0.6250 0.7500 0.8750
0.3750 0.1250 0.7500
0.0000 0.5000 0.0000
0.0000 0.0000 0.0000
0.2500 0.8750 0.1250
0.0000 0.0000 0.5000
0.8750 0.6250 0.7500
0.2500 0.3750 0.6250
0.5000 0.5000 0.5000
0.3750 0.2500 0.1250
0.0000 0.5000 0.5000
0.8750 0.2500 0.6250
0.5000 0.0000 0.5000
0.1250 0.7500 0.3750
0.6250 0.8750 0.2500
0.2730 0.8596 0.9455
0.7270 0.5866 0.1726
0.1726 0.0866 0.7270
0.4134 0.1404 0.5860
0.0866 0.9140 0.3596
0.9140 0.0866 0.8596
0.9134 0.8274 0.7730
0.0860 0.1726 0.4455
0.9140 0.8274 0.5545
0.6726 0.2270 0.5866
0.6404 0.5860 0.9134
0.6726 0.4455 0.5860
0.1404 0.4134 0.0860
0.7270 0.1404 0.0545
0.7730 0.4455 0.3596
0.5860 0.9455 0.6726
0.8274 0.9134 0.2730
0.2270 0.6726 0.0866
0.4140 0.3596 0.5866
0.6404 0.0545 0.2270
0.4455 0.6726 0.0860
0.0866 0.1726 0.2270
0.3274 0.7730 0.4134
0.1726 0.0860 0.9455
0.4455 0.7730 0.8596
0.0545 0.4140 0.8274
0.0860 0.9134 0.1404
0.7730 0.3274 0.9134
0.0545 0.6404 0.7270
0.9134 0.0860 0.6404
0.2730 0.4134 0.8274
0.8274 0.9140 0.0545
0.1404 0.7270 0.5545
0.8596 0.2730 0.4455
0.4134 0.2730 0.3274
0.9455 0.3596 0.2730
0.3596 0.9455 0.7730
0.3274 0.5545 0.4140
0.5860 0.6404 0.4134
0.5545 0.2270 0.1404
0.5545 0.3274 0.9140
0.5866 0.8596 0.4140
0.4140 0.0545 0.3274
0.9455 0.5860 0.1726
0.3596 0.4140 0.0866
0.2270 0.5545 0.6404
0.8596 0.5866 0.9140
0.5866 0.7270 0.6726
```

space group: Ia-3d



# 2
Entry from Alexandria: LiNbH2 after structural relaxation (PBE).

The structure in POSCAR format:
```
LiNbH2
1.0
4.9702 0.0000 0.0000
0.0000 4.9702 0.0000
2.4851 2.4851 3.1004
Nb H Li
2 4 2
Direct
0.0000 0.0000 0.0000
0.7500 0.2500 0.5000
0.1327 0.6250 0.2500
0.6173 0.1250 0.2500
0.3750 0.3827 0.7500
0.8750 0.8673 0.7500
0.5000 0.5000 0.0000
0.2500 0.7500 0.5000
```

E above lowest polymorph: 147.4 meV per atom
space group: I-42d



# 3
Entry from Alexandria: LiNbH2O after structural relaxation (PBE).

The structure in POSCAR format:
```
LiNbH2O
1.0
3.7038 0.0000 0.0000
0.0000 4.0005 0.0000
0.0000 0.0000 3.7038
O H Li Nb
1 2 1 1
Direct
0.0000 0.5000 0.0000
0.5000 0.0000 0.0000
0.0000 0.0000 0.5000
0.5000 0.5000 0.5000
0.0000 0.0000 0.0000
```

E above lowest polymorph: 0.0 meV per atom
space group: P4/mmm



# 4
Entry from Alexandria: LiNbH2O after structural relaxation (PBE).

The structure in POSCAR format:
```
LiNbH2O
1.0
3.7865 0.0000 0.0000
0.0000 3.1711 0.0000
0.0000 0.0000 3.7865
O H Li Nb
1 2 1 1
Direct
0.0000 0.0000 0.0000
0.5000 0.0000 0.0000
0.0000 0.0000 0.5000
0.0000 0.5000 0.0000
0.5000 0.5000 0.5000
```

E above lowest polymorph: 1352.9 meV per atom
space group: P4/mmm



# 5
Entry from Alexandria: LiNb2HOs after structural relaxation (PBE).

The structure in POSCAR format:
```
LiNb2HOs
1.0
4.2309 0.0000 0.0000
0.0000 4.2309 0.0000
0.0000 0.0000 3.6079
Nb Os H Li
2 1 1 1
Direct
0.0000 0.5000 0.0000
0.5000 0.0000 0.0000
0.5000 0.5000 0.5000
0.0000 0.0000 0.0000
0.0000 0.0000 0.5000
```

space group: P4/mmm



# 6
Entry from Alexandria: LiNb2HPd after structural relaxation (PBE).

The structure in POSCAR format:
```
LiNb2HPd
1.0
-2.4957 -2.8752 1.2946
2.4081 -2.8037 -1.5846
2.0976 -0.2145 3.5672
Nb H Pd Li
2 1 1 1
Direct
0.0000 0.5000 0.0000
0.5000 0.0000 0.0000
0.0000 0.0000 0.0000
0.5000 0.5000 0.5000
0.0000 0.0000 0.5000
```

space group: P4/mmm



# 7
Entry from Alexandria: Li2NbHPt after structural relaxation (PBE).

The structure in POSCAR format:
```
Li2NbHPt
1.0
3.7950 0.0000 0.0000
0.0000 3.7950 0.0000
0.0000 0.0000 4.3193
Li H Nb Pt
2 1 1 1
Direct
0.5000 0.0000 0.0000
0.0000 0.5000 0.0000
0.0000 0.0000 0.0000
0.0000 0.0000 0.5000
0.5000 0.5000 0.5000
```

space group: P4/mmm



# 8
Entry from Alexandria: LiNb2HPt after structural relaxation (PBE).

The structure in POSCAR format:
```
LiNb2HPt
1.0
-4.0035 0.6347 -0.0797
-0.1484 -1.4129 -3.7973
-0.6220 -3.7457 1.4180
Nb H Li Pt
2 1 1 1
Direct
0.0000 0.5000 0.0000
0.5000 0.0000 0.0000
0.0000 0.0000 0.0000
0.0000 0.0000 0.5000
0.5000 0.5000 0.5000
```

space group: P4/mmm



# 9
Entry from Alexandria: LiNb2ReH after structural relaxation (PBE).

The structure in POSCAR format:
```
LiNb2ReH
1.0
4.3910 0.0000 0.0000
0.0000 4.3910 0.0000
0.0000 0.0000 3.3775
Re Nb Li H
1 2 1 1
Direct
0.5000 0.5000 0.5000
0.0000 0.5000 0.0000
0.5000 0.0000 0.0000
0.0000 0.0000 0.5000
0.0000 0.0000 0.0000
```

space group: P4/mmm



# 10
Entry from Alexandria: LiNb2HRh after structural relaxation (PBE).

The structure in POSCAR format:
```
LiNb2HRh
1.0
-3.3080 -1.2660 2.0362
-1.6920 -1.2257 -3.5110
1.6195 -3.5139 0.4462
Li H Rh Nb
1 1 1 2
Direct
0.0000 0.0000 0.5000
0.0000 0.0000 0.0000
0.5000 0.5000 0.5000
0.0000 0.5000 0.0000
0.5000 0.0000 0.0000
```

space group: P4/mmm



# 11
Entry from Alexandria: LiNbHRh2 after structural relaxation (PBE).

The structure in POSCAR format:
```
LiNbHRh2
1.0
4.0477 0.0000 0.0000
0.0000 4.0477 0.0000
0.0000 0.0000 3.6561
Nb Rh Li H
1 2 1 1
Direct
0.5000 0.5000 0.5000
0.5000 0.0000 0.0000
0.0000 0.5000 0.0000
0.0000 0.0000 0.5000
0.0000 0.0000 0.0000
```

space group: P4/mmm



# 12
Entry from Alexandria: LiNbHRu2 after structural relaxation (PBE).

The structure in POSCAR format:
```
LiNbHRu2
1.0
-1.9968 3.3356 -1.4049
-0.0600 -1.6348 -3.7961
-3.0110 -1.5088 0.6973
Nb H Ru Li
1 1 2 1
Direct
0.5000 0.5000 0.5000
0.0000 0.0000 0.0000
0.5000 0.0000 0.0000
0.0000 0.5000 0.0000
0.0000 0.0000 0.5000
```

space group: P4/mmm



| no. | electronic total energy (eV per atom) |
| --- | --- |
| 1 | -4.188 |
| 2 | -4.718 |
| 3 | -5.477 |
| 4 | -4.124 |
| 5 | -7.355 |
| 6 | -6.217 |
| 7 | -4.917 |
| 8 | -6.556 |
| 9 | -7.578 |
| 10 | -6.674 |
| 11 | -6.245 |
| 12 | -6.883 |